1.
A plane-wave DFT calculation with GGA-PBE was carried out for crystalline PrPaP at its relaxed geometry.

a = 3.5295 Å, b = 3.5295 Å, c = 6.6301 Å
α = 105.44°, β = 105.44°, γ = 90.00°
Positions (direct):
P 0.3194 0.3194 0.6388
Pr 0.9736 0.9736 0.9472
Pa 0.7070 0.7070 0.4140

Space group: I4mm
Calculated volume: 77 Å³ per cell
E_form: -11.5 kcal/mol of atoms

2.
A plane-wave DFT calculation with GGA-PBE was carried out for crystalline PrPaP3 at its relaxed geometry.

a = 4.1609 Å, b = 6.0058 Å, c = 9.4052 Å
α = 90.00°, β = 90.00°, γ = 90.00°
Positions (direct):
P 0.2500 0.2500 0.9098
P 0.7500 0.5608 0.6566
P 0.7500 0.7500 0.0902
P 0.2500 0.4392 0.3434
P 0.7500 0.9392 0.6566
P 0.2500 0.0608 0.3434
Pa 0.7500 0.7500 0.3773
Pa 0.2500 0.2500 0.6227
Pr 0.7500 0.2500 0.1248
Pr 0.2500 0.7500 0.8752

Space group: Pmmn
Calculated volume: 235 Å³ per cell
E_form: -24.3 kcal/mol of atoms